# La2Ag3 GGA-PBEsol relaxed
data_La2Ag3
_cell_length_a 10.4323
_cell_length_b 16.3838
_cell_length_c 6.0866
_cell_angle_alpha 90.00
_cell_angle_beta 90.00
_cell_angle_gamma 90.00
_symmetry_space_group_name_H-M 'F d d 2'
_symmetry_Int_Tables_number 43
_symmetry_space_group_name_Hall 'F 2 -2d'
loop_
_atom_site_label
_atom_site_fract_x
_atom_site_fract_y
_atom_site_fract_z
_atom_site_occupancy
La1 0.0760 0.3030 0.0000 1
Ag1 0.0000 0.0000 0.3216 1
Ag2 0.0699 0.3777 0.4938 1
# D(E_F) in states/eV/atom: 0.95
# E above lowest polymorph in meV/atom: 11.6
# Formation energy in eV/f.u.: -1.01
# Electronic total energy in eV for the cell shown: -173.11
# Calculated volume in Å³/cell: 1040.3


# Rb2LiYI6 GGA-PBEsol relaxed
data_Rb2LiYI6
_cell_length_a 11.7304
_cell_length_b 11.7304
_cell_length_c 11.7304
_cell_angle_alpha 90.00
_cell_angle_beta 90.00
_cell_angle_gamma 90.00
_symmetry_space_group_name_H-M 'F m -3 m'
_symmetry_Int_Tables_number 225
_symmetry_space_group_name_Hall '-F 4 2 3'
loop_
_atom_site_label
_atom_site_fract_x
_atom_site_fract_y
_atom_site_fract_z
_atom_site_occupancy
Rb1 0.2500 0.2500 0.2500 1
Li1 0.0000 0.0000 0.0000 1
Y1 0.0000 0.0000 0.5000 1
I1 0.0000 0.0000 0.2467 1
# D(E_F) in states/eV/atom: 0.00
# ΔE_f (raw) in eV/atom: -1.3797
# Electronic total energy in eV for the cell shown: -140.95
# Calculated volume in Å³/cell: 1614.1


# SrCa2Mg GGA-PBEsol relaxed
data_SrCa2Mg
_cell_length_a 4.0955
_cell_length_b 4.0955
_cell_length_c 9.0982
_cell_angle_alpha 90.00
_cell_angle_beta 90.00
_cell_angle_gamma 90.00
_symmetry_space_group_name_H-M 'P 4 m m'
_symmetry_Int_Tables_number 99
loop_
_symmetry_equiv_pos_as_xyz
'x,y,z'
'-y,x,z'
'-x,-y,z'
'y,-x,z'
'-x,y,z'
'y,x,z'
'x,-y,z'
'-y,-x,z'
loop_
_atom_site_label
_atom_site_fract_x
_atom_site_fract_y
_atom_site_fract_z
_atom_site_occupancy
Sr1 0.0000 0.0000 0.0000 1
Ca1 0.0000 0.0000 0.5741 1
Ca2 0.5000 0.5000 0.3052 1
Mg1 0.5000 0.5000 0.7668 1
# D(E_F) in states/eV/atom: 1.12
# Formation energy in eV/f.u.: -0.10
# Electronic total energy in eV for the cell shown: -7.92
# Calculated volume in Å³/cell: 152.6


# NiSb2Rh GGA-PBEsol relaxed
data_NiSb2Rh
_cell_length_a 3.8667
_cell_length_b 3.5297
_cell_length_c 10.0536
_cell_angle_alpha 90.00
_cell_angle_beta 90.00
_cell_angle_gamma 90.00
_symmetry_space_group_name_H-M 'A m m 2'
_symmetry_Int_Tables_number 38
loop_
_symmetry_equiv_pos_as_xyz
'x,y,z'
'-x,-y,z'
'-x,y,z'
'x,-y,z'
'x,y+1/2,z+1/2'
'-x,-y+1/2,z+1/2'
'-x,y+1/2,z+1/2'
'x,-y+1/2,z+1/2'
loop_
_atom_site_label
_atom_site_fract_x
_atom_site_fract_y
_atom_site_fract_z
_atom_site_occupancy
Ni1 0.0000 0.0000 0.0000 1
Sb1 0.0000 0.0000 0.2549 1
Sb2 0.5000 0.0000 0.5417 1
Rh1 0.5000 0.0000 0.8206 1
# D(E_F) in states/eV/atom: 0.54
# ΔE_f (raw) in eV/atom: -0.2670
# Electronic total energy in eV for the cell shown: -48.96
# Calculated volume in Å³/cell: 137.2


# Mo2AsOs GGA-PBEsol relaxed
data_Mo2AsOs
_cell_length_a 2.9217
_cell_length_b 2.9217
_cell_length_c 6.8069
_cell_angle_alpha 90.00
_cell_angle_beta 90.00
_cell_angle_gamma 90.00
_symmetry_space_group_name_H-M 'P 4/m m m'
_symmetry_Int_Tables_number 123
_symmetry_space_group_name_Hall '-P 4 2'
loop_
_atom_site_label
_atom_site_fract_x
_atom_site_fract_y
_atom_site_fract_z
_atom_site_occupancy
Mo1 0.0000 0.0000 0.2391 1
As1 0.5000 0.5000 0.0000 1
Os1 0.5000 0.5000 0.5000 1
# D(E_F) in states/eV/atom: 0.56
# Formation energy in eV/f.u.: -0.17
# Electronic total energy in eV for the cell shown: -41.03
# Calculated volume in Å³/cell: 58.1


# Ba2LiIn GGA-PBEsol relaxed
data_Ba2LiIn
_cell_length_a 8.0338
_cell_length_b 8.0338
_cell_length_c 8.0338
_cell_angle_alpha 90.00
_cell_angle_beta 90.00
_cell_angle_gamma 90.00
_symmetry_space_group_name_H-M 'F -4 3 m'
_symmetry_Int_Tables_number 216
_symmetry_space_group_name_Hall 'F -4 2 3'
loop_
_atom_site_label
_atom_site_fract_x
_atom_site_fract_y
_atom_site_fract_z
_atom_site_occupancy
Ba1 0.0000 0.0000 0.0000 1
Ba2 0.2500 0.2500 0.2500 1
Li1 0.0000 0.0000 0.5000 1
In1 0.2500 0.2500 0.7500 1
# D(E_F) in states/eV/atom: 0.13
# Formation energy in eV/f.u.: -0.94
# Electronic total energy in eV for the cell shown: -40.74
# Calculated volume in Å³/cell: 518.5


# TcPb3 GGA-PBEsol relaxed
data_TcPb3
_cell_length_a 3.6551
_cell_length_b 4.8187
_cell_length_c 5.7997
_cell_angle_alpha 90.00
_cell_angle_beta 108.34
_cell_angle_gamma 90.00
_symmetry_space_group_name_H-M 'P 1 2/m 1'
_symmetry_Int_Tables_number 10
loop_
_symmetry_equiv_pos_as_xyz
'x,y,z'
'-x,-y,-z'
'-x,y,-z'
'x,-y,z'
loop_
_atom_site_label
_atom_site_fract_x
_atom_site_fract_y
_atom_site_fract_z
_atom_site_occupancy
Tc1 0.0000 0.0000 0.0000 1
Pb1 0.1443 0.5000 0.7771 1
Pb2 0.5000 0.0000 0.5000 1
# D(E_F) in states/eV/atom: 0.86
# E above lowest polymorph in meV/atom: 249.3
# Formation energy in eV/f.u.: 2.72
# Electronic total energy in eV for the cell shown: -20.54
# Calculated volume in Å³/cell: 97.0


# Hg3PPd GGA-PBEsol relaxed
data_Hg3PPd
_cell_length_a 5.1121
_cell_length_b 5.1121
_cell_length_c 5.1121
_cell_angle_alpha 90.00
_cell_angle_beta 90.00
_cell_angle_gamma 90.00
_symmetry_space_group_name_H-M 'P m -3 m'
_symmetry_Int_Tables_number 221
_symmetry_space_group_name_Hall '-P 4 2 3'
loop_
_atom_site_label
_atom_site_fract_x
_atom_site_fract_y
_atom_site_fract_z
_atom_site_occupancy
Hg1 0.0000 0.0000 0.5000 1
P1 0.5000 0.5000 0.5000 1
Pd1 0.0000 0.0000 0.0000 1
# D(E_F) in states/eV/atom: 0.63
# Formation energy in eV/f.u.: 3.36
# Electronic total energy in eV for the cell shown: -10.09
# Calculated volume in Å³/cell: 133.6


# HgH3Cl GGA-PBEsol relaxed
data_HgH3Cl
_cell_length_a 3.7896
_cell_length_b 3.7896
_cell_length_c 3.7896
_cell_angle_alpha 90.00
_cell_angle_beta 90.00
_cell_angle_gamma 90.00
_symmetry_space_group_name_H-M 'P m -3 m'
_symmetry_Int_Tables_number 221
_symmetry_space_group_name_Hall '-P 4 2 3'
loop_
_atom_site_label
_atom_site_fract_x
_atom_site_fract_y
_atom_site_fract_z
_atom_site_occupancy
Hg1 0.0000 0.0000 0.0000 1
H1 0.0000 0.0000 0.5000 1
Cl1 0.5000 0.5000 0.5000 1
# D(E_F) in states/eV/atom: 0.46
# Electronic total energy in eV for the cell shown: -9.88
# Calculated volume in Å³/cell: 54.4


# Ba4Ge2Te5Se3 GGA-PBEsol relaxed
data_Ba4Ge2Te5Se3
_cell_length_a 7.2371
_cell_length_b 7.4358
_cell_length_c 9.3389
_cell_angle_alpha 71.54
_cell_angle_beta 89.97
_cell_angle_gamma 89.97
_symmetry_space_group_name_H-M 'P 1'
_symmetry_Int_Tables_number 1
loop_
_symmetry_equiv_pos_as_xyz
'x,y,z'
loop_
_atom_site_label
_atom_site_fract_x
_atom_site_fract_y
_atom_site_fract_z
_atom_site_occupancy
Ba1 0.0000 0.0000 0.0000 1
Ba2 0.0001 0.0131 0.5065 1
Ba3 0.4793 0.4703 0.8831 1
Ba4 0.4831 0.4617 0.3941 1
Ge1 0.4926 0.0211 0.2474 1
Ge2 0.9891 0.4490 0.6454 1
Te1 0.4949 0.8414 0.0506 1
Te2 0.4966 0.8524 0.5364 1
Te3 0.7623 0.2579 0.1847 1
Te4 0.9932 0.6294 0.8411 1
Te5 0.9938 0.6271 0.3595 1
Se1 0.2357 0.2280 0.1928 1
Se2 0.2453 0.2379 0.7004 1
Se3 0.7353 0.2386 0.7010 1
# ΔE_f (raw) in eV/atom: -1.1464
# Electronic total energy in eV for the cell shown: -63.70
# Calculated volume in Å³/cell: 476.7


# CoMo2Ir GGA-PBEsol relaxed
data_CoMo2Ir
_cell_length_a 5.3265
_cell_length_b 7.6056
_cell_length_c 2.6919
_cell_angle_alpha 90.00
_cell_angle_beta 90.00
_cell_angle_gamma 90.00
_symmetry_space_group_name_H-M 'C m m m'
_symmetry_Int_Tables_number 65
_symmetry_space_group_name_Hall '-C 2 2'
loop_
_atom_site_label
_atom_site_fract_x
_atom_site_fract_y
_atom_site_fract_z
_atom_site_occupancy
Co1 0.0000 0.0000 0.0000 1
Mo1 0.2500 0.2500 0.5000 1
Ir1 0.0000 0.5000 0.0000 1
# D(E_F) in states/eV/atom: 0.58
# E above lowest polymorph in meV/atom: 31.7
# Formation energy in eV/f.u.: -0.49
# Electronic total energy in eV for the cell shown: -83.17
# Calculated volume in Å³/cell: 109.1


# MnCuTc GGA-PBEsol relaxed
data_MnCuTc
_cell_length_a 5.5951
_cell_length_b 5.5951
_cell_length_c 5.5951
_cell_angle_alpha 90.00
_cell_angle_beta 90.00
_cell_angle_gamma 90.00
_symmetry_space_group_name_H-M 'F -4 3 m'
_symmetry_Int_Tables_number 216
_symmetry_space_group_name_Hall 'F -4 2 3'
loop_
_atom_site_label
_atom_site_fract_x
_atom_site_fract_y
_atom_site_fract_z
_atom_site_occupancy
Mn1 0.0000 0.0000 0.0000 1
Cu1 0.2500 0.2500 0.2500 1
Tc1 0.0000 0.0000 0.5000 1
# D(E_F) in states/eV/atom: 0.88
# E above lowest polymorph in meV/atom: 704.6
# Formation energy in eV/f.u.: 2.78
# Electronic total energy in eV for the cell shown: -90.34
# Calculated volume in Å³/cell: 175.2